1.
Entry from the Alexandria database: a relaxed Mg2Sc4Cd crystal (PBE).

Geometry as POSCAR:
```
Mg2Sc4Cd
1.0
4.620 0.000 0.000
0.000 5.903 -1.668
0.000 0.390 6.121
Mg Sc Cd
2 4 1
direct
0.000 0.716 0.284 Mg
0.000 0.284 0.716 Mg
0.000 0.796 0.796 Sc
0.000 0.204 0.204 Sc
0.500 0.000 0.500 Sc
0.500 0.500 0.000 Sc
0.500 0.500 0.500 Cd
```

- total magnetization (μB per atom) = 0.180
- space group = Cmmm (65)
- offset from the most stable computed form (kJ per mole of atoms) = 0.0
- energy of formation from the pure elements (eV per atom) = 0.08
- VASP energy (Ha/atom) = -0.151

---

2.
Entry from the Alexandria database: a relaxed Cu2AsBr8 crystal (PBE).

Geometry as POSCAR:
```
Cu2AsBr8
1.0
6.495 0.739 0.561
1.091 7.875 -1.242
1.091 0.925 7.919
Cu As Br
2 1 8
direct
0.669 0.810 0.810 Cu
0.331 0.190 0.190 Cu
0.000 0.000 0.000 As
0.192 0.255 0.938 Br
0.808 0.062 0.745 Br
0.332 0.778 0.778 Br
0.668 0.222 0.222 Br
0.192 0.938 0.255 Br
0.808 0.745 0.062 Br
0.812 0.579 0.579 Br
0.188 0.421 0.421 Br
```

- total magnetization (μB per atom) = 0.101
- raw formation energy (eV/f.u.) = -2.67
- space group = C2/m (12)
- VASP energy (Ha/atom) = -0.097

---

3.
Entry from the Alexandria database: a relaxed SrVMo2 crystal (PBE).

Geometry as POSCAR:
```
SrVMo2
1.0
-4.135 -2.190 0.113
-3.957 2.441 -0.543
-2.513 -0.459 -3.922
Sr Mo V
1 2 1
direct
0.500 0.500 0.500 Sr
0.250 0.250 0.250 Mo
0.750 0.750 0.750 Mo
0.000 0.000 0.000 V
```

- total magnetization (μB per atom) = 0.000
- space group = Fm-3m (225)
- offset from the most stable computed form (kJ per mole of atoms) = 0.0
- energy of formation from the pure elements (eV per atom) = 1.11
- VASP energy (Ha/atom) = -0.258

---

4.
Entry from the Alexandria database: a relaxed KNa2IO6 crystal (PBE).

Geometry as POSCAR:
```
KNa2IO6
1.0
-0.930 1.061 -6.107
1.645 -4.067 -4.476
-4.163 -3.184 -3.438
K Na I O
1 2 1 6
direct
0.495 0.495 0.495 K
0.222 0.222 0.222 Na
0.706 0.706 0.706 Na
0.007 0.007 0.007 I
0.336 0.073 0.835 O
0.073 0.835 0.336 O
0.935 0.211 0.681 O
0.681 0.935 0.211 O
0.835 0.336 0.073 O
0.211 0.681 0.935 O
```

- total magnetization (μB per atom) = 0.200
- raw formation energy (eV/f.u.) = -8.67
- space group = R3 (146)
- VASP energy (Ha/atom) = -0.161

---

5.
Entry from the Alexandria database: a relaxed InCu3Au2 crystal (PBE).

Geometry as POSCAR:
```
InCu3Au2
1.0
2.908 0.000 0.000
0.000 8.410 0.000
0.000 0.000 15.857
In Cu Au
4 12 8
direct
0.250 0.305 0.663 In
0.750 0.695 0.337 In
0.750 0.195 0.163 In
0.250 0.805 0.837 In
0.250 0.254 0.833 Cu
0.750 0.746 0.167 Cu
0.750 0.246 0.333 Cu
0.250 0.754 0.667 Cu
0.750 0.044 0.910 Cu
0.250 0.956 0.090 Cu
0.250 0.456 0.410 Cu
0.750 0.544 0.590 Cu
0.250 0.015 0.573 Cu
0.750 0.985 0.427 Cu
0.750 0.485 0.073 Cu
0.250 0.515 0.927 Cu
0.250 0.240 0.002 Au
0.750 0.760 0.998 Au
0.750 0.260 0.502 Au
0.250 0.740 0.498 Au
0.750 0.020 0.722 Au
0.250 0.980 0.278 Au
0.250 0.480 0.222 Au
0.750 0.520 0.778 Au
```

- total magnetization (μB per atom) = 0.000
- space group = Pnma (62)
- energy of formation from the pure elements (eV per atom) = 0.03
- VASP energy (Ha/atom) = -0.131

---

6.
Entry from the Alexandria database: a relaxed CeTmBiAs crystal (PBE).

Geometry as POSCAR:
```
CeTmBiAs
1.0
-1.076 2.484 -3.340
-3.838 1.935 -0.091
1.145 7.149 2.182
Ce Tm Bi As
1 1 1 1
direct
0.992 0.992 0.024 Ce
0.508 0.508 0.475 Tm
0.753 0.753 0.741 Bi
0.247 0.247 0.259 As
```

- total magnetization (μB per atom) = 0.193
- space group = R3m (160)
- energy of formation from the pure elements (eV per atom) = -1.10
- VASP energy (Ha/atom) = -0.214